VASP calculation (GGA-PBE) on a relaxed LiZn2Pb crystal.

Summary:
- Formation energy from the elements: 103 meV/atom
- DOS at the Fermi energy: 0.3289 states/eV/atom

```
4
Lattice="10.076 0.162 0.096 9.528 3.281 0.096 9.528 1.673 2.823" Properties=species:S:1:pos:R:3 pbc="T T T"
Li 7.283 1.279 0.754
Zn 14.909 2.619 1.543
Zn 28.788 5.056 2.979
Pb 21.848 3.837 2.261
```

---

VASP calculation (GGA-PBE) on a relaxed Li4ZnPb2 crystal.

Summary:
- Formation energy from the elements: -207 meV/atom
- DOS at the Fermi energy: 0.2224 states/eV/atom

```
14
Lattice="-2.980 -3.043 2.109 4.116 -3.365 0.961 3.284 6.494 8.668" Properties=species:S:1:pos:R:3 pbc="T T T"
Li 3.283 1.773 7.191
Li 1.208 -0.348 1.202
Li 3.213 0.434 10.536
Li 1.263 3.425 6.719
Li 1.138 -1.687 4.547
Li 0.487 0.265 6.435
Li 3.934 -0.179 5.303
Li 3.158 -3.338 5.019
Pb 2.728 -0.918 7.880
Pb 2.689 3.761 9.239
Pb 1.692 1.004 3.858
Pb 1.731 -3.675 2.499
Zn 3.487 -1.413 2.899
Zn 0.934 1.499 8.839
```

---

Number 1: total moment 0.00 μB/atom. Number 2: total moment 0.00 μB/atom.